[1]
Material: Ba2Li3InBi4
Method: DFT, PBE
State: relaxed

The structure belongs to space group P-4m2 (No. 115); the cell edges are 5.070, 5.070 and 11.881 Å and the angles 90.00°, 90.00° and 90.00°. The distinct sites, in fractional coordinates, are Ba at (0.000, 0.500, 0.237), Li at (0.000, 0.500, 0.880), Li at (0.500, 0.500, 0.500), In at (0.000, 0.000, 0.500), Bi at (0.000, 0.000, 0.000), Bi at (0.000, 0.500, 0.641) and Bi at (0.500, 0.500, 0.000).

The value obtained for the formation energy is -0.63 eV/atom. The volume is 30.54 Å³/atom. For the density of states at the Fermi level, the calculation gives 0.10 states/eV per atom.

=====

[2]
Material: ZrBeTlPb2
Method: DFT, PBE
State: relaxed

The structure belongs to space group P4/mmm (No. 123); the cell edges are 5.690, 5.690 and 5.027 Å and the angles 90.00°, 90.00° and 90.00°. The distinct sites, in fractional coordinates, are Zr at (0.000, 0.000, 0.000), Be at (0.000, 0.000, 0.500), Tl at (0.500, 0.500, 0.500) and Pb at (0.000, 0.500, 0.000).

The value obtained for the formation energy is 0.66 eV/atom. The volume is 32.55 Å³/atom. For the density of states at the Fermi level, the calculation gives 0.90 states/eV per atom.

=====

[3]
Material: MgTlCF2
Method: DFT, PBE
State: relaxed

The structure belongs to space group P4/mmm (No. 123); the cell edges are 4.133, 4.133 and 4.762 Å and the angles 90.00°, 90.00° and 90.00°. The distinct sites, in fractional coordinates, are Mg at (0.000, 0.000, 0.000), Tl at (0.500, 0.500, 0.000), C at (0.500, 0.500, 0.500) and F at (0.000, 0.500, 0.500).

The calculation puts the uncorrected formation energy at 16 kJ per mole of atoms. The volume is 16.27 Å³/atom. The calculation puts the polymorph energy (0 for the lowest one) at 0.269 eV/atom. For the density of states at the Fermi level, the calculation gives 0.21 states/eV per atom.

=====

[4]
Material: Tl6SbCl12
Method: DFT, PBE
State: relaxed

The structure belongs to space group R-3 (No. 148, hexagonal axes); the cell edges are 12.6489, 12.6489 and 17.0990 Å and the angles 90.00°, 90.00° and 120.00°. The distinct sites, in fractional coordinates, are Tl at (0.0005, 0.7611, 0.2587), Sb at (0.0000, 0.0000, 0.0000), Cl at (0.0010, 0.7903, 0.6973) and Cl at (0.0842, 0.1798, 0.0817).

The calculation puts the uncorrected formation energy at -78 kJ per mole of atoms. The volume is 41.57 Å³/atom. The calculation puts the polymorph energy (0 for the lowest one) at 0.030 eV/atom. For the density of states at the Fermi level, the calculation gives 0.88 states/eV per atom.

=====

[5]
Material: V2HIrRu6
Method: DFT, PBE
State: relaxed

The structure belongs to space group P-1 (No. 2); the cell edges are 4.622, 5.492 and 5.789 Å and the angles 76.93°, 76.92° and 75.72°. The distinct sites, in fractional coordinates, are V at (0.111, 0.427, 0.263), H at (0.000, 0.000, 0.000), Ir at (0.500, 0.500, 0.500), Ru at (0.123, 0.904, 0.323), Ru at (0.302, 0.193, 0.884) and Ru at (0.314, 0.710, 0.883).

Its total DFT energy (no corrections) is -8.47 eV/atom. The volume is 13.64 Å³/atom. For the density of states at the Fermi level, the calculation gives 0.98 states/eV per atom.

=====

[6]
Material: LaRe2Mo
Method: DFT, PBE
State: relaxed

The structure belongs to space group Pm (No. 6); the cell edges are 2.895, 4.197 and 6.541 Å and the angles 90.00°, 99.15° and 90.00°. The distinct sites, in fractional coordinates, are La at (0.000, 0.000, 0.000), Re at (0.225, 0.500, 0.686), Re at (0.518, 0.000, 0.511) and Mo at (0.789, 0.500, 0.324).

The value obtained for the formation energy is 0.49 eV/atom. The volume is 19.61 Å³/atom. The calculation puts the polymorph energy (0 for the lowest one) at 0.124 eV/atom. For the density of states at the Fermi level, the calculation gives 1.04 states/eV per atom.

=====

[7]
Material: MnTcGe4
Method: DFT, PBE
State: relaxed

The structure belongs to space group Cmmm (No. 65); the cell edges are 8.756, 8.809 and 2.942 Å and the angles 90.00°, 90.00° and 90.00°. The distinct sites, in fractional coordinates, are Mn at (0.000, 0.000, 0.000), Tc at (0.000, 0.500, 0.500), Ge at (0.000, 0.215, 0.500) and Ge at (0.229, 0.500, 0.000).

The value obtained for the formation energy is 0.10 eV/atom. The volume is 18.91 Å³/atom. For the density of states at the Fermi level, the calculation gives 0.65 states/eV per atom.

=====

[8]
Material: Cs2AcB2O6
Method: DFT, PBE
State: relaxed

The structure belongs to space group R-3m (No. 166, hexagonal axes); the cell edges are 5.8729, 5.8729 and 21.4043 Å and the angles 90.00°, 90.00° and 120.00°. The distinct sites, in fractional coordinates, are Cs at (0.0000, 0.0000, 0.2097), Ac at (0.0000, 0.0000, 0.0000), B at (0.0000, 0.0000, 0.4036) and O at (0.0611, 0.5305, 0.2630).

The calculation puts the uncorrected formation energy at -232 kJ per mole of atoms. The volume is 19.37 Å³/atom. For the density of states at the Fermi level, the calculation gives 0.43 states/eV per atom.

=====

[9]
Material: Er6Tl2Ag
Method: DFT, PBE
State: relaxed

The structure belongs to space group Immm (No. 71); the cell edges are 5.064, 7.236 and 15.215 Å and the angles 90.00°, 90.00° and 90.00°. The distinct sites, in fractional coordinates, are Er at (0.000, 0.238, 0.000), Er at (0.000, 0.257, 0.338), Tl at (0.000, 0.500, 0.167) and Ag at (0.000, 0.500, 0.500).

The value obtained for the formation energy is 0.00 eV/atom. The volume is 30.98 Å³/atom. For the density of states at the Fermi level, the calculation gives 1.01 states/eV per atom.

=====

[10]
Material: Nd2TmGa4Pd3
Method: DFT, PBE
State: relaxed

The structure belongs to space group P-4m2 (No. 115); the cell edges are 4.226, 4.226 and 11.759 Å and the angles 90.00°, 90.00° and 90.00°. The distinct sites, in fractional coordinates, are Nd at (0.000, 0.500, 0.228), Tm at (0.000, 0.000, 0.500), Ga at (0.000, 0.000, 0.000), Ga at (0.000, 0.500, 0.665), Ga at (0.500, 0.500, 0.000), Pd at (0.000, 0.500, 0.876) and Pd at (0.500, 0.500, 0.500).

The value obtained for the formation energy is -0.73 eV/atom. The volume is 21.00 Å³/atom. For the density of states at the Fermi level, the calculation gives 0.78 states/eV per atom.

=====

[11]
Material: LiCu2Ir
Method: DFT, PBE
State: relaxed

The structure belongs to space group Pmm2 (No. 25); the cell edges are 2.524, 3.948 and 5.190 Å and the angles 90.00°, 90.00° and 90.00°. The distinct sites, in fractional coordinates, are Li at (0.000, 0.000, 0.000), Cu at (0.000, 0.000, 0.501), Cu at (0.500, 0.500, 0.250) and Ir at (0.500, 0.500, 0.749).

The value obtained for the formation energy is 0.03 eV/atom. The volume is 12.93 Å³/atom. The calculation puts the polymorph energy (0 for the lowest one) at 0.122 eV/atom. For the density of states at the Fermi level, the calculation gives 0.49 states/eV per atom.